The following is a DFT calculation (PBE-GGA) of a relaxed structure of KNi3Ge.

The structure belongs to space group Pm-3m (No. 221); the cell edges are 4.5128, 4.5128 and 4.5128 Å and the angles 90.00°, 90.00° and 90.00°. The distinct sites, in fractional coordinates, are K at (0.0000, 0.0000, 0.0000), Ni at (0.0000, 0.0000, 0.5000) and Ge at (0.5000, 0.5000, 0.5000).

The calculation puts the total magnetization at 0.000 Bohr magnetons per cell. The value obtained for the energy above the most stable polymorph in this dataset is 1470 meV per atom. For the density of states at the Fermi level, the calculation gives 6.03 states/eV/f.u. Its final energy is -13.3 eV/f.u.

---

The following is a DFT calculation (PBE-GGA) of a relaxed structure of K2Ni2Ge.

The structure belongs to space group I4/mmm (No. 139); the cell edges are 3.2861, 3.2861 and 22.1723 Å and the angles 90.00°, 90.00° and 90.00°. The distinct sites, in fractional coordinates, are K at (0.0000, 0.0000, 0.1196), Ni at (0.0000, 0.5000, 0.2500) and Ge at (0.0000, 0.0000, 0.5000).

The calculation puts the total magnetization at 2.285 Bohr magnetons per cell. The value obtained for the energy above the most stable polymorph in this dataset is 0 meV per atom. For the density of states at the Fermi level, the calculation gives 5.72 states/eV/f.u. Its final energy is -16.1 eV/f.u.

---

- The highest final energy belongs to which entry?
  KNi3Ge

---

- Which value of final energy does entry 1 give?
  -13.3 eV/f.u.

---

- What is the formula in the second record?
  K2Ni2Ge

---

- What is the formula in the second record?
  K2Ni2Ge